Record 1
A plane-wave DFT calculation with SCAN was carried out for a crystal of Cs relaxed with PBEsol.

Values from the calculation:
Energy of formation from the pure elements: 0.02 kcal/mol of atoms
Magnetic moment: 0.00 μB per atom
Energy above the most stable polymorph in this dataset: 0 kJ/mol of formula units
Space group: Fmmm
Mass density: 2.06 g/cm3

abc: 5.189 5.178 5.178
angles: 110.55 108.92 108.92
Fractional coordinates of all 1 atoms:
1 Cs 0.500 0.000 0.000

Record 2
A plane-wave DFT calculation with SCAN was carried out for a crystal of K2TcMo relaxed with PBEsol.

Values from the calculation:
Energy of formation from the pure elements: 33.49 kcal/mol of atoms
Magnetic moment: 0.00 μB per atom
Energy above the most stable polymorph in this dataset: 217 kJ/mol of formula units
Space group: R-3m
Mass density: 5.60 g/cm3

abc: 2.776 2.776 12.184
angles: 83.46 83.46 60.00
Fractional coordinates of all 4 atoms:
1 K 0.253 0.253 0.241
2 Mo 0.500 0.500 0.500
3 K 0.747 0.747 0.759
4 Tc 0.000 0.000 0.000

Record 3
A plane-wave DFT calculation with SCAN was carried out for a crystal of CdSiN2O relaxed with PBEsol.

Values from the calculation:
Magnetic moment: 0.61 μB per atom
Space group: P4/mmm
DFT total energy: -11.26 eV per atom
Mass density: 4.32 g/cm3

abc: 4.134 4.143 4.143
angles: 90.00 90.00 90.00
Site moments in Bohr magnetons follow the coordinates.
Fractional coordinates of all 5 atoms:
1 N 0.000 0.000 0.500  1.06
2 N 0.000 0.500 0.000  1.06
3 Cd 0.000 0.000 0.000  0.10
4 Si 0.500 0.500 0.500  -0.10
5 O 0.500 0.000 0.000  0.34

Record 4
A plane-wave DFT calculation with SCAN was carried out for a crystal of POsBr2 relaxed with PBEsol.

Values from the calculation:
Magnetic moment: 0.15 μB per atom
Energy above the most stable polymorph in this dataset: 0 kJ/mol of formula units
Space group: C2/m
Mass density: 7.45 g/cm3

abc: 3.043 3.800 7.652
angles: 101.37 101.47 90.00
Site moments in Bohr magnetons follow the coordinates.
Fractional coordinates of all 4 atoms:
1 Br 0.847 0.721 0.694  0.08
2 Os 0.500 0.000 0.000  0.38
3 Br 0.153 0.279 0.306  0.08
4 P 0.000 0.500 0.000  -0.02

Record 5
A plane-wave DFT calculation with SCAN was carried out for a crystal of YAlNi2 relaxed with PBEsol.

Values from the calculation:
Energy of formation from the pure elements: -9.83 kcal/mol of atoms
Magnetic moment: 0.00 μB per atom
Space group: Amm2
Mass density: 6.13 g/cm3

abc: 3.422 3.950 4.976
angles: 90.00 110.12 90.00
Fractional coordinates of all 4 atoms:
1 Y 0.526 0.000 0.427
2 Al 0.236 0.500 0.846
3 Ni 0.797 0.000 0.968
4 Ni 0.942 0.500 0.259

Record 6
A plane-wave DFT calculation with SCAN was carried out for a crystal of FeRu2Cl relaxed with PBEsol.

Values from the calculation:
Magnetic moment: 0.86 μB per atom
Energy above the most stable polymorph in this dataset: 243 kJ/mol of formula units
Space group: Fm-3m
Mass density: 9.46 g/cm3

abc: 4.176 4.176 4.176
angles: 60.00 60.00 60.00
Site moments in Bohr magnetons follow the coordinates.
Fractional coordinates of all 4 atoms:
1 Fe 0.000 0.000 0.000  3.05
2 Cl 0.500 0.500 0.500  -0.07
3 Ru 0.750 0.750 0.750  0.24
4 Ru 0.250 0.250 0.250  0.24